A relaxed structure of CeZnTe, computed with PBE-GGA.

Summary:
- E_tot (eV/atom) = -4.261
- symmetry = Cmcm

Unit cell a=4.548 b=4.098 c=8.854 alpha=76.62 beta=90.00 gamma=90.00
Fractional positions:
1 Zn 0.750 0.475 0.049
2 Zn 0.250 0.525 0.951
3 Te 0.750 0.320 0.360
4 Te 0.250 0.680 0.640
5 Ce 0.750 0.118 0.764
6 Ce 0.250 0.882 0.236